(1)
DFT (GGA-PBE) results for a relaxed structure of ZnPdOF2.

Cell and atoms, written as POSCAR:
```
ZnPdOF2
1.0
-3.204 1.919 -1.944
0.551 -2.481 -3.357
-2.531 -2.657 1.548
Zn O Pd F
1 1 1 2
Direct
0.500 0.500 0.500
0.000 0.000 0.500
0.000 0.000 0.000
0.000 0.500 0.000
0.500 0.000 0.000
```

Calculated values
E_form (uncorrected) = -14.61 kcal/mol of atoms

=====

(2)
DFT (GGA-PBE) results for a relaxed structure of ZnPdO2F.

Cell and atoms, written as POSCAR:
```
ZnPdO2F
1.0
-1.083 1.953 -3.320
-3.532 0.873 1.665
1.557 3.426 1.507
Zn O Pd F
1 2 1 1
Direct
0.500 0.500 0.500
0.000 0.500 0.000
0.500 0.000 0.000
0.000 0.000 0.000
0.000 0.000 0.500
```

Calculated values
E_form (uncorrected) = -7.53 kcal/mol of atoms

=====

(3)
DFT (GGA-PBE) results for a relaxed structure of ZnPdOF2.

Cell and atoms, written as POSCAR:
```
ZnPdOF2
1.0
3.922 0.000 0.000
0.000 3.922 0.000
0.000 0.000 4.124
Zn O Pd F
1 1 1 2
Direct
0.000 0.000 0.000
0.000 0.000 0.500
0.500 0.500 0.500
0.000 0.500 0.000
0.500 0.000 0.000
```

Calculated values
E_form (uncorrected) = -19.08 kcal/mol of atoms